LaVTeN2: optimized geometry, GGA-PBE.

a = 4.2295 Å, b = 4.2295 Å, c = 6.7398 Å
α = 90.00°, β = 90.00°, γ = 90.00°
Fractional coordinates of all 5 atoms:
N: 0.5000 0.0000 0.0000
La: 0.0000 0.0000 0.0000
V: 0.5000 0.5000 0.5000
N: 0.0000 0.5000 0.0000
Te: 0.0000 0.0000 0.5000

Calculated values
The calculation puts the density of states at the Fermi level at 5.70 states/eV/cell. The mass density comes out at 4758 kg/m3. As for the total energy: -5.901 eV per atom. As for the formation energy (no corrections): 0.866 eV per atom. For the size of the total moment, the calculation gives 2.5 μB/cell. As for the space-group type: P4/mmm (123).

LaVTeN2: optimized geometry, GGA-PBE.

a = 4.1506 Å, b = 4.1506 Å, c = 5.1925 Å
α = 90.00°, β = 90.00°, γ = 90.00°
Fractional coordinates of all 5 atoms:
N: 0.0000 0.5000 0.0000
La: 0.5000 0.5000 0.5000
V: 0.0000 0.0000 0.0000
Te: 0.0000 0.0000 0.5000
N: 0.5000 0.0000 0.0000

Calculated values
The calculation puts the density of states at the Fermi level at 2.50 states/eV/cell. The mass density comes out at 6413 kg/m3. As for the total energy: -6.906 eV per atom. As for the formation energy (no corrections): -0.139 eV per atom. For the size of the total moment, the calculation gives 0.0 μB/cell. As for the space-group type: P4/mmm (123).

LaYTe2N: optimized geometry, GGA-PBE.

a = 5.8953 Å, b = 5.8953 Å, c = 4.2699 Å
α = 90.00°, β = 90.00°, γ = 90.00°
Fractional coordinates of all 5 atoms:
Te: 0.0000 0.5000 0.0000
N: 0.0000 0.0000 0.5000
Y: 0.0000 0.0000 0.0000
La: 0.5000 0.5000 0.5000
Te: 0.5000 0.0000 0.0000

Calculated values
The calculation puts the density of states at the Fermi level at 2.85 states/eV/cell. The mass density comes out at 5561 kg/m3. As for the total energy: -5.858 eV per atom. As for the formation energy (no corrections): -0.658 eV per atom. For the size of the total moment, the calculation gives 0.7 μB/cell. As for the space-group type: P4/mmm (123).

LaYTe2N: optimized geometry, GGA-PBE.

a = 6.1497 Å, b = 6.1497 Å, c = 4.1448 Å
α = 90.00°, β = 90.00°, γ = 90.00°
Fractional coordinates of all 5 atoms:
La: 0.0000 0.0000 0.0000
N: 0.0000 0.0000 0.5000
Te: 0.0000 0.5000 0.0000
Te: 0.5000 0.0000 0.0000
Y: 0.5000 0.5000 0.5000

Calculated values
The calculation puts the density of states at the Fermi level at 4.00 states/eV/cell. The mass density comes out at 5265 kg/m3. As for the total energy: -5.546 eV per atom. As for the formation energy (no corrections): -0.346 eV per atom. For the size of the total moment, the calculation gives 0.3 μB/cell. As for the space-group type: P4/mmm (123).

La2YTe2N2: optimized geometry, GGA-PBE.

a = 4.4805 Å, b = 4.4805 Å, c = 8.8912 Å
α = 104.59°, β = 104.59°, γ = 90.00°
Fractional coordinates of all 7 atoms:
Y: 0.0000 0.0000 0.0000
Te: 0.8149 0.8149 0.6299
Te: 0.1851 0.1851 0.3701
N: 0.0000 0.5000 0.0000
N: 0.5000 0.0000 0.0000
La: 0.3967 0.3967 0.7934
La: 0.6033 0.6033 0.2066

Calculated values
The calculation puts the density of states at the Fermi level at 2.91 states/eV/cell. The mass density comes out at 6471 kg/m3. As for the total energy: -6.921 eV per atom. As for the formation energy (no corrections): -1.313 eV per atom. For the size of the total moment, the calculation gives 0.0 μB/cell. As for the space-group type: I4/mmm (139).

LaZrTe2N: optimized geometry, GGA-PBE.

a = 5.7485 Å, b = 5.7485 Å, c = 4.0929 Å
α = 90.00°, β = 90.00°, γ = 90.00°
Fractional coordinates of all 5 atoms:
Te: 0.0000 0.5000 0.0000
Zr: 0.0000 0.0000 0.0000
Te: 0.5000 0.0000 0.0000
N: 0.0000 0.0000 0.5000
La: 0.5000 0.5000 0.5000

Calculated values
The calculation puts the density of states at the Fermi level at 1.37 states/eV/cell. The mass density comes out at 6131 kg/m3. As for the total energy: -6.439 eV per atom. As for the formation energy (no corrections): -0.822 eV per atom. For the size of the total moment, the calculation gives 0.0 μB/cell. As for the space-group type: P4/mmm (123).

LaZrTeN2: optimized geometry, GGA-PBE.

a = 4.2958 Å, b = 4.2958 Å, c = 6.2959 Å
α = 90.00°, β = 90.00°, γ = 90.00°
Fractional coordinates of all 5 atoms:
Te: 0.0000 0.0000 0.5000
N: 0.0000 0.5000 0.0000
N: 0.5000 0.0000 0.0000
Zr: 0.5000 0.5000 0.5000
La: 0.0000 0.0000 0.0000

Calculated values
The calculation puts the density of states at the Fermi level at 3.10 states/eV/cell. The mass density comes out at 5513 kg/m3. As for the total energy: -6.083 eV per atom. As for the formation energy (no corrections): 0.570 eV per atom. For the size of the total moment, the calculation gives 0.0 μB/cell. As for the space-group type: P4/mmm (123).

LaZrTeN2: optimized geometry, GGA-PBE.

a = 4.3779 Å, b = 4.3779 Å, c = 5.6736 Å
α = 90.00°, β = 90.00°, γ = 90.00°
Fractional coordinates of all 5 atoms:
Te: 0.0000 0.0000 0.5000
Zr: 0.0000 0.0000 0.0000
N: 0.5000 0.0000 0.0000
N: 0.0000 0.5000 0.0000
La: 0.5000 0.5000 0.5000

Calculated values
The calculation puts the density of states at the Fermi level at 2.98 states/eV/cell. The mass density comes out at 5891 kg/m3. As for the total energy: -7.114 eV per atom. As for the formation energy (no corrections): -0.460 eV per atom. For the size of the total moment, the calculation gives 0.5 μB/cell. As for the space-group type: P4/mmm (123).

LaZrTe2N: optimized geometry, GGA-PBE.

a = 6.1045 Å, b = 6.1045 Å, c = 4.0517 Å
α = 90.00°, β = 90.00°, γ = 90.00°
Fractional coordinates of all 5 atoms:
N: 0.0000 0.0000 0.5000
Zr: 0.5000 0.5000 0.5000
Te: 0.5000 0.0000 0.0000
La: 0.0000 0.0000 0.0000
Te: 0.0000 0.5000 0.0000

Calculated values
The calculation puts the density of states at the Fermi level at 3.66 states/eV/cell. The mass density comes out at 5492 kg/m3. As for the total energy: -5.399 eV per atom. As for the formation energy (no corrections): 0.218 eV per atom. For the size of the total moment, the calculation gives 1.2 μB/cell. As for the space-group type: P4/mmm (123).

LaThN2: optimized geometry, GGA-PBE.

a = 3.6799 Å, b = 3.6799 Å, c = 12.2286 Å
α = 90.00°, β = 90.00°, γ = 120.00°
Fractional coordinates of all 8 atoms:
N: 0.3333 0.6667 0.3880
N: 0.6667 0.3333 0.6120
Th: 0.0000 0.0000 0.0000
Th: 0.0000 0.0000 0.5000
La: 0.3333 0.6667 0.7500
N: 0.3333 0.6667 0.1120
N: 0.6667 0.3333 0.8880
La: 0.6667 0.3333 0.2500

Calculated values
The calculation puts the density of states at the Fermi level at 3.48 states/eV/cell. The mass density comes out at 9239 kg/m3. As for the total energy: -8.734 eV per atom. As for the formation energy (no corrections): -1.485 eV per atom. For the size of the total moment, the calculation gives 0.0 μB/cell. As for the space-group type: P6_3/mmc (194).

La2ThN3: optimized geometry, GGA-PBE.

a = 5.2424 Å, b = 7.4338 Å, c = 6.4506 Å
α = 106.74°, β = 113.98°, γ = 90.00°
Fractional coordinates of all 12 atoms:
La: 0.6665 0.5832 0.3331
Th: 0.0000 0.7500 0.0000
Th: 0.0000 0.2500 0.0000
N: 0.4998 0.2500 0.0000
N: 0.8490 0.9244 0.6979
La: 0.6665 0.0832 0.3331
N: 0.1511 0.5756 0.3021
N: 0.5002 0.7500 0.0000
La: 0.3335 0.4168 0.6669
N: 0.1510 0.0756 0.3021
La: 0.3335 0.9168 0.6669
N: 0.8489 0.4244 0.6979

Calculated values
The calculation puts the density of states at the Fermi level at 2.51 states/eV/cell. The mass density comes out at 8408 kg/m3. As for the total energy: -8.506 eV per atom. As for the formation energy (no corrections): -1.464 eV per atom. For the size of the total moment, the calculation gives 0.0 μB/cell. As for the space-group type: Immm (71).

LaTh5N6: optimized geometry, GGA-PBE.

a = 6.3629 Å, b = 6.3625 Å, c = 6.3597 Å
α = 59.99°, β = 80.42°, γ = 70.56°
Fractional coordinates of all 12 atoms:
N: 0.2547 0.2617 0.0000
N: 0.2589 0.5679 0.3454
N: 0.7411 0.4321 0.6546
Th: 0.0000 0.3331 0.3338
La: 0.0000 0.0000 0.0000
N: 0.7411 0.0867 0.3454
N: 0.2589 0.9133 0.6546
N: 0.7453 0.7383 0.0000
Th: 0.5000 0.5000 0.0000
Th: 0.5000 0.8346 0.3308
Th: 0.5000 0.1654 0.6692
Th: 0.0000 0.6669 0.6662

Calculated values
The calculation puts the density of states at the Fermi level at 6.06 states/eV/cell. The mass density comes out at 10925 kg/m3. As for the total energy: -9.210 eV per atom. As for the formation energy (no corrections): -1.545 eV per atom. For the size of the total moment, the calculation gives 0.0 μB/cell. As for the space-group type: C2/m (12).

> Look up the size of the total moment of the sixth one.

0.0 μB/cell

> Which value of mass density does entry 10 give?

9239 kg/m3